[1]
A relaxed structure of Gd2Lu3Hg3. Source: the Open Quantum Materials Database, functional PBE-GGA.

extended XYZ file:
```
8
Lattice="6.9611 0.0000 0.0000 -3.4806 6.0285 0.0000 0.0000 0.0000 5.0844" Properties=species:S:1:pos:R:3 pbc="T T T"
Gd 0.0000 0.0000 0.0000
Gd 0.0000 4.0190 2.5422
Lu 1.7959 1.0369 2.5422
Lu 5.1652 1.0369 2.5422
Lu 3.4806 3.9548 2.5422
Hg 3.4806 0.0595 0.0000
Hg 1.7919 2.9845 0.0000
Hg 5.1693 2.9845 0.0000
```

Computed properties:
Distance to the lowest polymorph of the same formula   8.1 kJ/mol of atoms
M_tot   0.0471 μB/atom
E_form   -170 meV per atom


[2]
A relaxed structure of Gd2Lu3Hg3. Source: the Open Quantum Materials Database, functional PBE-GGA.

extended XYZ file:
```
8
Lattice="5.5445 0.0000 0.0000 0.0000 3.5836 5.3875 0.0000 -3.5836 5.3875" Properties=species:S:1:pos:R:3 pbc="T T T"
Gd 0.0000 0.0000 0.0000
Gd 2.7722 0.0000 3.8757
Lu 0.0000 -1.7356 8.0245
Lu 0.0000 1.7356 8.0245
Lu 2.7722 0.0000 8.7733
Hg 0.0000 0.0000 5.3635
Hg 2.7722 -2.0088 6.3819
Hg 2.7722 2.0088 6.3819
```

Computed properties:
Distance to the lowest polymorph of the same formula   6.1 kJ/mol of atoms
M_tot   0.0151 μB/atom
E_form   -191 meV per atom


[3]
A relaxed structure of Gd2Lu3Hg3. Source: the Open Quantum Materials Database, functional PBE-GGA.

extended XYZ file:
```
8
Lattice="6.5914 0.0000 0.0000 0.0000 5.3531 0.0000 -2.9408 0.0000 5.9110" Properties=species:S:1:pos:R:3 pbc="T T T"
Gd 0.0000 0.0000 0.0000
Gd -0.0918 2.6766 4.0696
Lu 1.7950 0.0000 2.8041
Lu 4.6541 2.6766 1.0935
Lu 3.3022 2.6766 3.9988
Hg 1.4270 2.6766 1.1254
Hg 0.3255 0.0000 5.8959
Hg 4.9526 0.0000 2.9473
```

Computed properties:
Distance to the lowest polymorph of the same formula   0.0 kJ/mol of atoms
M_tot   0.0060 μB/atom
E_form   -254 meV per atom


[4]
A relaxed structure of Gd2Mg5Hg. Source: the Open Quantum Materials Database, functional PBE-GGA.

extended XYZ file:
```
8
Lattice="5.0871 0.0000 0.0000 0.0000 3.2686 5.8690 0.0000 -3.2686 5.8690" Properties=species:S:1:pos:R:3 pbc="T T T"
Gd 0.0000 0.0000 0.0000
Gd 2.5435 0.0000 4.1175
Mg 0.0000 -1.6481 2.9743
Mg 0.0000 1.6481 2.9743
Mg 0.0000 0.0000 6.0653
Mg 2.5435 -1.5836 7.0880
Mg 2.5435 1.5836 7.0880
Hg 2.5435 0.0000 9.8945
```

Computed properties:
M_tot   0.0035 μB/atom
Energy   -0.172 Ry per atom


[5]
A relaxed structure of GdMg2Hg. Source: the Open Quantum Materials Database, functional PBE-GGA.

extended XYZ file:
```
4
Lattice="4.3182 0.0000 0.0000 0.0000 4.6812 0.0000 0.0000 0.0000 4.6811" Properties=species:S:1:pos:R:3 pbc="T T T"
Gd 0.0000 0.0000 0.0000
Mg 2.1591 0.0000 2.3424
Mg 2.1591 2.3406 4.6582
Hg 0.0000 2.3406 2.3197
```

Computed properties:
M_tot   0.0004 μB/atom
Energy   -0.162 Ry per atom


[6]
A relaxed structure of GdMgHg6. Source: the Open Quantum Materials Database, functional PBE-GGA.

extended XYZ file:
```
8
Lattice="6.5913 0.0000 0.0000 -3.2957 5.7082 0.0000 0.0000 0.0000 4.9985" Properties=species:S:1:pos:R:3 pbc="T T T"
Gd 0.0000 0.0000 0.0000
Mg 3.2957 1.9027 2.4992
Hg 0.0000 1.9232 2.4992
Hg -1.6301 4.7466 2.4992
Hg 3.2957 0.0494 0.0000
Hg 1.6906 2.8294 0.0000
Hg 1.6301 4.7466 2.4992
Hg 4.9007 2.8294 0.0000
```

Computed properties:
M_tot   0.0007 μB/atom
Energy   -0.089 Ry per atom


[7]
A relaxed structure of Gd2Mg2Hg. Source: the Open Quantum Materials Database, functional PBE-GGA.

extended XYZ file:
```
10
Lattice="0.0000 7.7713 3.1503 5.3929 0.0000 3.1503 5.3929 7.7713 0.0000" Properties=species:S:1:pos:R:3 pbc="T T T"
Gd 6.1542 3.0174 3.1503
Gd 7.3279 6.9030 4.7254
Gd 4.6315 12.5253 3.1503
Gd 3.4578 8.6396 4.7254
Mg 4.6693 5.9985 3.1289
Mg 6.1164 9.5441 3.1289
Mg 8.8128 9.8841 4.7041
Mg 7.3657 13.4298 4.7041
Hg 5.3929 7.7713 0.8857
Hg 2.6964 3.8857 2.4609
```

Computed properties:
M_tot   0.1860 μB/atom
Energy   -0.197 Ry per atom


[8]
A relaxed structure of Nd2GdMg3Tl2Hg. Source: the Open Quantum Materials Database, functional PBE-GGA.

extended XYZ file:
```
9
Lattice="4.6908 0.0000 0.0000 0.0000 6.5970 3.8454 0.0000 -6.5970 3.8454" Properties=species:S:1:pos:R:3 pbc="T T T"
Nd 0.0000 -3.8440 3.8454
Nd 0.0000 3.8440 3.8454
Gd 0.0000 0.0000 4.8156
Mg 2.3454 -1.5694 2.5289
Mg 2.3454 1.5694 2.5289
Mg 2.3454 0.0000 7.4827
Tl 2.3454 -2.1680 5.4479
Tl 2.3454 2.1680 5.4479
Hg 0.0000 0.0000 1.6559
```

Computed properties:
M_tot   0.0020 μB/atom
Energy   -0.224 Ry per atom